Record 1
First-principles (PBE-GGA) data for crystalline PmPbAu at its relaxed geometry, as listed in OQMD via LeMat-Bulk.

Calculated values
As for the total moment: 0.00 μB per cell. Its total energy is -4.615 eV/atom. The space group is No. 216.

a = 4.9063 Å, b = 4.9063 Å, c = 4.9063 Å
α = 60.00°, β = 60.00°, γ = 60.00°
Positions (direct):
Au 0.0000 0.0000 0.0000
Pb 0.2500 0.2500 0.2500
Pm 0.7500 0.7500 0.7500


Record 2
First-principles (PBE-GGA) data for crystalline PmPbAu at its relaxed geometry, as listed in OQMD via LeMat-Bulk.

Calculated values
As for the total moment: 0.01 μB per cell. Its total energy is -4.110 eV/atom. The space group is No. 216.

a = 5.0534 Å, b = 5.0534 Å, c = 5.0534 Å
α = 60.00°, β = 60.00°, γ = 60.00°
Positions (direct):
Au 0.7500 0.7500 0.7500
Pb 0.2500 0.2500 0.2500
Pm 0.5000 0.5000 0.5000